Model A:
{
  "formula": "Er6Co2Pt",
  "functional": "PBE-GGA",
  "state": "relaxed",
  "vol_a3_per_cell": 444,
  "rho_g_cm3": 9.8,
  "spacegroup": "No. 14",
  "magnetic_moment_mub_per_fu": 0.0,
  "lattice_angstrom": [[-3.7818, -4.2249, -3.0034], [5.5449, -2.4498, -3.5360], [1.8859, -6.3297, 7.3426]],
  "species": ["Er", "Er", "Er", "Er", "Er", "Pt", "Er", "Er", "Pt", "Co", "Er", "Er", "Er", "Er", "Er", "Co", "Co", "Co"],
  "fractional_positions": [[0.3466, 0.8184, 0.4230], [0.3310, 0.5609, 0.7427], [0.3138, 0.8332, 0.0825], [0.1862, 0.3332, 0.4175], [0.6534, 0.1816, 0.5770], [0.0000, 0.0000, 0.5000], [0.8138, 0.6668, 0.5825], [0.1534, 0.3184, 0.0770], [0.5000, 0.5000, 0.0000], [0.9533, 0.3878, 0.7588], [0.1690, 0.0609, 0.7573], [0.6862, 0.1668, 0.9175], [0.8310, 0.9391, 0.2427], [0.8466, 0.6816, 0.9230], [0.6690, 0.4391, 0.2573], [0.0467, 0.6122, 0.2412], [0.5467, 0.8878, 0.7412], [0.4533, 0.1122, 0.2588]]
}

Model B:
{
  "formula": "Er6Co2Pt",
  "functional": "PBE-GGA",
  "state": "relaxed",
  "vol_a3_per_cell": 409,
  "rho_g_cm3": 10.7,
  "spacegroup": "No. 71",
  "magnetic_moment_mub_per_fu": 0.0,
  "lattice_angstrom": [[7.6032, 0.1257, -2.7985], [-3.9378, 6.6687, -2.3829], [-0.1074, -0.1257, 8.1012]],
  "species": ["Pt", "Er", "Er", "Er", "Er", "Er", "Er", "Co", "Er", "Co", "Er", "Co", "Co", "Er", "Er", "Er", "Pt", "Er"],
  "fractional_positions": [[0.0000, 0.0000, 0.0000], [0.6868, 0.3605, 0.6738], [0.4506, 0.2714, 0.1793], [0.1892, 0.2477, 0.4369], [0.0921, 0.2714, 0.8207], [0.3132, 0.9870, 0.6738], [0.5494, 0.7286, 0.8207], [0.5000, 0.6151, 0.1151], [0.1892, 0.7523, 0.9414], [0.5000, 0.3849, 0.8849], [0.3132, 0.6395, 0.3262], [0.6625, 0.0000, 0.6625], [0.3375, 0.0000, 0.3375], [0.9079, 0.7286, 0.1793], [0.8108, 0.2477, 0.0586], [0.6868, 0.0130, 0.3262], [0.0000, 0.5000, 0.5000], [0.8108, 0.7523, 0.5631]]
}

Which one sits at the bottom of the stability order? model A does.

Model A:
{
  "formula": "ErThCoPt",
  "functional": "PBE-GGA",
  "state": "relaxed",
  "vol_a3_per_cell": 85,
  "rho_g_cm3": 12.7,
  "spacegroup": "No. 216",
  "magnetic_moment_mub_per_fu": 0.3,
  "lattice_angstrom": [[4.9385, 0.0000, 0.0000], [2.4692, 4.2768, 0.0000], [2.4692, 1.4256, 4.0322]],
  "species": ["Th", "Er", "Co", "Pt"],
  "fractional_positions": [[0.0000, 0.0000, 0.0000], [0.5000, 0.5000, 0.5000], [0.2500, 0.2500, 0.2500], [0.7500, 0.7500, 0.7500]]
}

Model B:
{
  "formula": "ErThCoPt",
  "functional": "PBE-GGA",
  "state": "relaxed",
  "vol_a3_per_cell": 86,
  "rho_g_cm3": 12.6,
  "spacegroup": "No. 38",
  "magnetic_moment_mub_per_fu": 0.0,
  "lattice_angstrom": [[-0.9686, 1.1961, -3.4575], [-1.9082, -3.4990, -0.6759], [-4.2518, 1.5827, 3.8099]],
  "species": ["Pt", "Th", "Er", "Co"],
  "fractional_positions": [[0.5846, 0.5000, 0.1691], [0.8660, 0.5000, 0.7320], [0.1461, 0.0000, 0.2923], [0.4033, 0.0000, 0.8066]]
}

Which one sits at the bottom of the stability order? model A does.

Model A:
{
  "formula": "ErTmCoRh",
  "functional": "PBE-GGA",
  "state": "relaxed",
  "vol_a3_per_cell": 75,
  "rho_g_cm3": 11.1,
  "spacegroup": "No. 99",
  "magnetic_moment_mub_per_fu": 0.5,
  "lattice_angstrom": [[-3.3206, -0.1245, -0.1370], [0.1295, -3.3209, -0.1226], [-0.2690, -0.2599, 6.7555]],
  "species": ["Rh", "Tm", "Er", "Co"],
  "fractional_positions": [[0.5000, 0.5000, 0.6053], [0.0000, 0.0000, 0.3501], [0.0000, 0.0000, 0.8643], [0.5000, 0.5000, 0.1083]]
}

Model B:
{
  "formula": "ErTmCoRh",
  "functional": "PBE-GGA",
  "state": "relaxed",
  "vol_a3_per_cell": 75,
  "rho_g_cm3": 11.0,
  "spacegroup": "No. 216",
  "magnetic_moment_mub_per_fu": 0.4,
  "lattice_angstrom": [[-0.3872, 0.1318, 4.7129], [-2.7528, -3.1310, 2.2356], [1.9530, -3.4128, 2.6301]],
  "species": ["Er", "Rh", "Co", "Tm"],
  "fractional_positions": [[0.2500, 0.2500, 0.2500], [0.0000, 0.0000, 0.0000], [0.5000, 0.5000, 0.5000], [0.7500, 0.7500, 0.7500]]
}

Which one sits at the bottom of the stability order? model B does.

Model A:
{
  "formula": "Er6Co2Ru",
  "functional": "PBE-GGA",
  "state": "relaxed",
  "vol_a3_per_cell": 406,
  "rho_g_cm3": 10.0,
  "spacegroup": "No. 71",
  "magnetic_moment_mub_per_fu": 0.0,
  "lattice_angstrom": [[-3.1073, -6.4142, -3.8041], [8.0615, -0.1095, -0.5184], [-2.0275, -0.1455, 7.8190]],
  "species": ["Er", "Co", "Er", "Er", "Er", "Er", "Er", "Co", "Er", "Er", "Er", "Er", "Er", "Co", "Ru", "Er", "Co", "Ru"],
  "fractional_positions": [[0.8136, 0.2616, 0.0752], [0.6635, 0.0000, 0.6635], [0.5646, 0.7407, 0.8239], [0.4354, 0.2593, 0.1761], [0.6862, 0.3583, 0.6721], [0.0833, 0.2593, 0.8239], [0.8136, 0.7384, 0.5519], [0.5000, 0.6142, 0.1142], [0.1864, 0.7384, 0.9248], [0.1864, 0.2616, 0.4481], [0.3138, 0.6417, 0.3279], [0.9167, 0.7407, 0.1761], [0.6862, 0.0141, 0.3279], [0.5000, 0.3858, 0.8858], [0.0000, 0.0000, 0.0000], [0.3138, 0.9859, 0.6721], [0.3365, 0.0000, 0.3365], [0.0000, 0.5000, 0.5000]]
}

Model B:
{
  "formula": "Er6Co2Ru",
  "functional": "PBE-GGA",
  "state": "relaxed",
  "vol_a3_per_cell": 429,
  "rho_g_cm3": 9.5,
  "spacegroup": "No. 14",
  "magnetic_moment_mub_per_fu": 0.0,
  "lattice_angstrom": [[6.4338, 0.0000, 0.4178], [0.0000, 6.9823, 0.0000], [-0.1891, 0.0000, 9.5291]],
  "species": ["Co", "Er", "Er", "Er", "Er", "Er", "Er", "Er", "Ru", "Er", "Co", "Ru", "Er", "Er", "Er", "Co", "Co", "Er"],
  "fractional_positions": [[0.4683, 0.1475, 0.2003], [0.1480, 0.3346, 0.0790], [0.6683, 0.4623, 0.2592], [0.3317, 0.5377, 0.7408], [0.1805, 0.3339, 0.4236], [0.8520, 0.6654, 0.9210], [0.3520, 0.8346, 0.4210], [0.1683, 0.0377, 0.7592], [0.0000, 0.0000, 0.5000], [0.6480, 0.1654, 0.5790], [0.9683, 0.3525, 0.7003], [0.5000, 0.5000, 0.0000], [0.3195, 0.8339, 0.0764], [0.8317, 0.9623, 0.2408], [0.8195, 0.6661, 0.5764], [0.5317, 0.8525, 0.7997], [0.0317, 0.6475, 0.2997], [0.6805, 0.1661, 0.9236]]
}

Which one sits at the bottom of the stability order? model B does.

Model A:
{
  "formula": "ErZrCoRu",
  "functional": "PBE-GGA",
  "state": "relaxed",
  "vol_a3_per_cell": 71,
  "rho_g_cm3": 9.8,
  "spacegroup": "No. 99",
  "magnetic_moment_mub_per_fu": 0.0,
  "lattice_angstrom": [[3.2934, 0.0000, 0.0000], [0.0000, 3.2934, 0.0000], [0.0000, 0.0000, 6.5492]],
  "species": ["Er", "Zr", "Co", "Ru"],
  "fractional_positions": [[0.0000, 0.0000, 0.8534], [0.0000, 0.0000, 0.3629], [0.5000, 0.5000, 0.5874], [0.5000, 0.5000, 0.1243]]
}

Model B:
{
  "formula": "ErZrCoRu",
  "functional": "PBE-GGA",
  "state": "relaxed",
  "vol_a3_per_cell": 71,
  "rho_g_cm3": 9.8,
  "spacegroup": "No. 216",
  "magnetic_moment_mub_per_fu": 0.5,
  "lattice_angstrom": [[-4.4868, 0.4094, -1.1508], [-2.6544, -3.7974, -0.3969], [-3.2993, -0.8710, 3.1589]],
  "species": ["Er", "Ru", "Zr", "Co"],
  "fractional_positions": [[0.0000, 0.0000, 0.0000], [0.7500, 0.7500, 0.7500], [0.5000, 0.5000, 0.5000], [0.2500, 0.2500, 0.2500]]
}

Which one sits at the bottom of the stability order? model B does.

Model A:
{
  "formula": "Er3CoSb",
  "functional": "PBE-GGA",
  "state": "relaxed",
  "vol_a3_per_cell": 131,
  "rho_g_cm3": 8.7,
  "spacegroup": "No. 221",
  "magnetic_moment_mub_per_fu": 0.0,
  "lattice_angstrom": [[-1.3106, 1.2640, 4.7354], [-1.4378, -4.7853, 0.8794], [4.6856, -1.1148, 1.5944]],
  "species": ["Er", "Co", "Er", "Er", "Sb"],
  "fractional_positions": [[0.5000, 0.0000, 0.0000], [0.0000, 0.0000, 0.0000], [0.0000, 0.5000, 0.0000], [0.0000, 0.0000, 0.5000], [0.5000, 0.5000, 0.5000]]
}

Model B:
{
  "formula": "Er3CoSb",
  "functional": "PBE-GGA",
  "state": "relaxed",
  "vol_a3_per_cell": 251,
  "rho_g_cm3": 9.0,
  "spacegroup": "No. 12",
  "magnetic_moment_mub_per_fu": 0.0,
  "lattice_angstrom": [[-2.0730, -3.3452, -0.3234], [5.6466, -0.6374, -5.5071], [4.7084, -3.4885, 5.9018]],
  "species": ["Er", "Co", "Er", "Er", "Er", "Er", "Co", "Sb", "Sb", "Er"],
  "fractional_positions": [[0.0738, 0.1808, 0.4114], [0.8123, 0.6574, 0.7731], [0.9701, 0.9733, 0.0102], [0.2743, 0.5816, 0.9960], [0.6305, 0.2941, 0.7546], [0.4135, 0.8600, 0.6670], [0.2317, 0.4967, 0.6485], [0.6317, 0.2964, 0.1333], [0.4122, 0.8576, 0.2883], [0.7696, 0.5725, 0.4255]]
}

Which one sits at the bottom of the stability order? model A does.